# 1
Below is a relaxed MgSbPd2 crystal, with properties calculated at the PBE-GGA level.

a b c (Å): 5.271 5.271 5.271
angles (deg): 49.48 49.48 49.48
Atoms (fractional coordinates):
Mg (0.000, 0.000, 0.000)
Sb (0.796, 0.796, 0.796)
Pd (0.389, 0.389, 0.389)
Pd (0.592, 0.592, 0.592)

Formation energy from raw total energies (meV/atom): -446.0
Final energy (eV/atom): -4.4717
Density of states at the Fermi level (states/eV/f.u.): 1.6
Total moment (μB/f.u.): 0.00



# 2
Below is a relaxed Mg6SbPd5 crystal, with properties calculated at the PBE-GGA level.

a b c (Å): 7.950 7.950 7.950
angles (deg): 146.82 130.60 60.81
Atoms (fractional coordinates):
Mg (0.062, 0.326, 0.737)
Mg (0.224, 0.000, 0.224)
Mg (0.411, 0.674, 0.737)
Mg (0.589, 0.326, 0.263)
Mg (0.776, 0.000, 0.776)
Mg (0.938, 0.674, 0.263)
Sb (0.500, 0.500, 0.000)
Pd (0.000, 0.500, 0.500)
Pd (0.168, 0.168, 0.000)
Pd (0.338, 0.838, 0.500)
Pd (0.662, 0.162, 0.500)
Pd (0.832, 0.832, 0.000)

Formation energy from raw total energies (meV/atom): -628.9
Final energy (eV/atom): -3.9334
Density of states at the Fermi level (states/eV/f.u.): 4.0
Total moment (μB/f.u.): 0.00



# 3
Below is a relaxed MgSb2Pd7 crystal, with properties calculated at the PBE-GGA level.

a b c (Å): 7.600 7.600 4.261
angles (deg): 90.00 90.00 121.24
Atoms (fractional coordinates):
Mg (0.000, 0.000, 0.000)
Sb (0.305, 0.695, 0.500)
Sb (0.695, 0.305, 0.500)
Pd (0.077, 0.289, 0.500)
Pd (0.199, 0.801, 0.000)
Pd (0.289, 0.077, 0.500)
Pd (0.500, 0.500, 0.500)
Pd (0.711, 0.923, 0.500)
Pd (0.801, 0.199, 0.000)
Pd (0.923, 0.711, 0.500)

Formation energy from raw total energies (meV/atom): -157.1
Final energy (eV/atom): -4.7761
Density of states at the Fermi level (states/eV/f.u.): 6.5
Total moment (μB/f.u.): 0.00



# 4
Below is a relaxed Mg2Sb5Pd12 crystal, with properties calculated at the PBE-GGA level.

a b c (Å): 8.100 8.100 8.862
angles (deg): 105.28 105.28 41.12
Atoms (fractional coordinates):
Mg (0.241, 0.759, 0.000)
Mg (0.759, 0.241, 0.000)
Sb (0.000, 0.000, 0.500)
Sb (0.312, 0.312, 0.649)
Sb (0.349, 0.349, 0.151)
Sb (0.651, 0.651, 0.849)
Sb (0.688, 0.688, 0.351)
Pd (0.052, 0.568, 0.895)
Pd (0.092, 0.092, 0.281)
Pd (0.097, 0.592, 0.407)
Pd (0.408, 0.903, 0.593)
Pd (0.432, 0.948, 0.105)
Pd (0.486, 0.486, 0.664)
Pd (0.514, 0.514, 0.336)
Pd (0.568, 0.052, 0.895)
Pd (0.592, 0.097, 0.407)
Pd (0.903, 0.408, 0.593)
Pd (0.908, 0.908, 0.719)
Pd (0.948, 0.432, 0.105)

Formation energy from raw total energies (meV/atom): -358.3
Final energy (eV/atom): -4.8907
Density of states at the Fermi level (states/eV/f.u.): 8.2
Total moment (μB/f.u.): 0.00



# 5
Below is a relaxed MgSb2Pd6 crystal, with properties calculated at the PBE-GGA level.

a b c (Å): 7.456 7.456 3.172
angles (deg): 90.00 90.00 120.00
Atoms (fractional coordinates):
Mg (0.000, 0.000, 0.000)
Sb (0.333, 0.667, 0.500)
Sb (0.667, 0.333, 0.500)
Pd (0.000, 0.370, 0.000)
Pd (0.000, 0.709, 0.500)
Pd (0.291, 0.291, 0.500)
Pd (0.370, 0.000, 0.000)
Pd (0.630, 0.630, 0.000)
Pd (0.709, 0.000, 0.500)

Formation energy from raw total energies (meV/atom): -479.5
Final energy (eV/atom): -5.0346
Density of states at the Fermi level (states/eV/f.u.): 3.5
Total moment (μB/f.u.): 0.00



# 6
Below is a relaxed Mg4SbPd crystal, with properties calculated at the PBE-GGA level.

a b c (Å): 7.427 7.427 5.621
angles (deg): 99.74 99.74 114.57
Atoms (fractional coordinates):
Mg (0.066, 0.723, 0.948)
Mg (0.205, 0.362, 0.628)
Mg (0.277, 0.934, 0.552)
Mg (0.362, 0.205, 0.128)
Mg (0.638, 0.795, 0.872)
Mg (0.723, 0.066, 0.448)
Mg (0.795, 0.638, 0.372)
Mg (0.934, 0.277, 0.052)
Sb (0.369, 0.631, 0.250)
Sb (0.631, 0.369, 0.750)
Pd (0.001, 0.999, 0.750)
Pd (0.999, 0.001, 0.250)

Formation energy from raw total energies (meV/atom): -381.1
Final energy (eV/atom): -2.9967
Density of states at the Fermi level (states/eV/f.u.): 2.4
Total moment (μB/f.u.): 0.00



# 7
Below is a relaxed Mg2Sb2Pd5 crystal, with properties calculated at the PBE-GGA level.

a b c (Å): 8.720 8.720 8.720
angles (deg): 71.18 144.21 120.76
Atoms (fractional coordinates):
Mg (0.047, 0.133, 0.180)
Mg (0.047, 0.367, 0.414)
Mg (0.953, 0.633, 0.586)
Mg (0.953, 0.867, 0.820)
Sb (0.465, 0.775, 0.190)
Sb (0.466, 0.466, 0.000)
Sb (0.466, 0.966, 0.500)
Sb (0.584, 0.275, 0.810)
Pd (0.011, 0.015, 0.496)
Pd (0.047, 0.418, 0.926)
Pd (0.047, 0.621, 0.129)
Pd (0.492, 0.121, 0.074)
Pd (0.492, 0.918, 0.871)
Pd (0.507, 0.281, 0.326)
Pd (0.507, 0.681, 0.726)
Pd (0.519, 0.515, 0.504)
Pd (0.955, 0.181, 0.674)
Pd (0.955, 0.781, 0.274)

Formation energy from raw total energies (meV/atom): -470.0
Final energy (eV/atom): -4.6253
Density of states at the Fermi level (states/eV/f.u.): 4.0
Total moment (μB/f.u.): 0.00



# 8
Below is a relaxed Mg3SbPd crystal, with properties calculated at the PBE-GGA level.

a b c (Å): 4.968 4.968 4.968
angles (deg): 90.00 90.00 90.00
Atoms (fractional coordinates):
Mg (0.000, 0.000, 0.500)
Mg (0.000, 0.500, 0.000)
Mg (0.500, 0.000, 0.000)
Sb (0.500, 0.500, 0.500)
Pd (0.000, 0.000, 0.000)

Formation energy from raw total energies (meV/atom): -173.8
Final energy (eV/atom): -2.9936
Density of states at the Fermi level (states/eV/f.u.): 2.3
Total moment (μB/f.u.): 0.00